(1)
Density functional theory data (PBE-GGA) for an optimized crystal structure of SrOs2Br.

a b c (Å): 3.078 3.078 8.170
angles (deg): 90.00 90.00 90.00
Atoms (fractional coordinates):
Sr1 0.000 0.000 0.000
Os1 0.500 0.500 0.298
Os2 0.500 0.500 0.702
Br1 0.000 0.000 0.500

Summary:
**Offset from the most stable computed form**: 1355 meV/atom
**ΔE_f (raw)**: 1.430 eV per atom
**Total energy**: -20.1 eV per cell
**Space group**: P4/mmm

***

(2)
Density functional theory data (PBE-GGA) for an optimized crystal structure of LaTl2Bi2.

a b c (Å): 8.730 8.730 4.174
angles (deg): 90.00 90.00 90.00
Atoms (fractional coordinates):
La1 0.000 0.000 0.000
La2 0.500 0.500 0.000
Tl1 0.129 0.371 0.000
Tl2 0.371 0.871 0.000
Tl3 0.629 0.129 0.000
Tl4 0.871 0.629 0.000
Bi1 0.169 0.669 0.500
Bi2 0.331 0.169 0.500
Bi3 0.669 0.831 0.500
Bi4 0.831 0.331 0.500

Summary:
**Offset from the most stable computed form**: 245 meV/atom
**Total energy**: -36.7 eV per cell
**Space group**: P4/mbm

***

(3)
Density functional theory data (PBE-GGA) for an optimized crystal structure of Pr6Y3Ho.

a b c (Å): 11.292 11.292 6.355
angles (deg): 90.00 90.00 120.60
Atoms (fractional coordinates):
Pr1 0.039 0.961 0.500
Pr2 0.057 0.478 0.954
Pr3 0.280 0.720 0.238
Pr4 0.290 0.374 0.133
Pr5 0.374 0.290 0.633
Pr6 0.478 0.057 0.454
Pr7 0.522 0.943 0.954
Pr8 0.626 0.710 0.133
Pr9 0.710 0.626 0.633
Pr10 0.720 0.280 0.738
Pr11 0.943 0.522 0.454
Pr12 0.961 0.039 0.000
Y1 0.055 0.281 0.557
Y2 0.281 0.055 0.057
Y3 0.385 0.615 0.668
Y4 0.615 0.385 0.168
Y5 0.719 0.945 0.557
Y6 0.945 0.719 0.057
Ho1 0.199 0.801 0.708
Ho2 0.801 0.199 0.208

Summary:
**Total energy**: -102.6 eV per cell
**Space group**: Cmc2_1

***

(4)
Density functional theory data (PBE-GGA) for an optimized crystal structure of Ca2Mg2Cu3.

a b c (Å): 6.016 6.016 7.371
angles (deg): 125.33 125.33 44.59
Atoms (fractional coordinates):
Ca1 0.179 0.179 0.082
Ca2 0.821 0.821 0.918
Mg1 0.135 0.135 0.488
Mg2 0.865 0.865 0.512
Cu1 0.458 0.458 0.796
Cu2 0.500 0.500 0.500
Cu3 0.542 0.542 0.204

Summary:
**Offset from the most stable computed form**: 13 meV/atom
**Total energy**: -20.0 eV per cell
**Space group**: C2/m

***

(5)
Density functional theory data (PBE-GGA) for an optimized crystal structure of In2Ge2Se.

a b c (Å): 7.494 7.494 4.275
angles (deg): 90.00 90.00 90.00
Atoms (fractional coordinates):
In1 0.179 0.321 0.000
In2 0.321 0.821 0.000
In3 0.679 0.179 0.000
In4 0.821 0.679 0.000
Ge1 0.130 0.630 0.500
Ge2 0.370 0.130 0.500
Ge3 0.630 0.870 0.500
Ge4 0.870 0.370 0.500
Se1 0.000 0.000 0.500
Se2 0.500 0.500 0.500

Summary:
**Offset from the most stable computed form**: 70 meV/atom
**ΔE_f (raw)**: 0.108 eV per atom
**Total energy**: -35.3 eV per cell
**Space group**: P4/mbm

***

(6)
Density functional theory data (PBE-GGA) for an optimized crystal structure of SrMgHg4.

a b c (Å): 3.880 3.880 10.241
angles (deg): 90.00 90.00 90.00
Atoms (fractional coordinates):
Sr1 0.000 0.000 0.000
Mg1 0.500 0.500 0.500
Hg1 0.000 0.000 0.352
Hg2 0.000 0.000 0.648
Hg3 0.500 0.500 0.194
Hg4 0.500 0.500 0.806

Summary:
**Offset from the most stable computed form**: 0 meV/atom
**Total energy**: -6.2 eV per cell
**Space group**: P4/mmm

***

(7)
Density functional theory data (PBE-GGA) for an optimized crystal structure of Ho2ZrGa6.

a b c (Å): 8.077 8.077 8.077
angles (deg): 152.68 127.99 59.73
Atoms (fractional coordinates):
Ho1 0.133 0.133 0.000
Ho2 0.867 0.867 0.000
Zr1 0.500 0.000 0.500
Ga1 0.152 0.328 0.823
Ga2 0.199 0.500 0.699
Ga3 0.495 0.672 0.823
Ga4 0.505 0.328 0.177
Ga5 0.801 0.500 0.301
Ga6 0.848 0.672 0.177

Summary:
**Total energy**: -39.1 eV per cell
**Space group**: Immm

***

(8)
Density functional theory data (PBE-GGA) for an optimized crystal structure of SrNi2Te.

a b c (Å): 3.460 3.460 6.933
angles (deg): 90.00 90.00 90.00
Atoms (fractional coordinates):
Sr1 0.000 0.000 0.000
Ni1 0.000 0.000 0.554
Ni2 0.500 0.500 0.726
Te1 0.500 0.500 0.376

Summary:
**Offset from the most stable computed form**: 373 meV/atom
**ΔE_f (raw)**: -0.003 eV per atom
**Total energy**: -16.4 eV per cell
**Space group**: P4mm

***

Number 1: magnetization 0.0 μB per cell. Number 2: magnetization 0.0 μB per cell. Number 3: magnetization 0.0 μB per cell. Number 4: magnetization 0.0 μB per cell. Number 5: magnetization 0.0 μB per cell. Number 6: magnetization 0.0 μB per cell. Number 7: magnetization 0.0 μB per cell. Number 8: magnetization 0.0 μB per cell.